# PrAsN2O

Crystalline PrAsN2O at its relaxed geometry (PBE-GGA, OQMD).

Computed properties:
symmetry = Pmc2_1
E_tot = -6.997 eV per atom

a = 3.6745 Å, b = 6.1773 Å, c = 5.4999 Å
α = 90.00°, β = 90.00°, γ = 90.00°
With the nearest neighbours (Å) after each atom.
Element x y z (fractional)
O (0.0000, 0.5720, 0.7563)  1 As 2.01
As (0.0000, 0.1683, 0.4778)  4 N 1.81-1.94, 1 O 2.01
N (0.5000, 0.7313, 0.9811)  2 As 1.94
As (0.0000, 0.8317, 0.9778)  4 N 1.81-1.94, 1 O 2.01
O (0.0000, 0.4280, 0.2563)  1 As 2.01
N (0.0000, 0.0868, 0.8149)  2 As 1.81-1.92
Pr (0.5000, 0.6650, 0.4701)  4 N 2.45-2.72, 4 O 2.49-2.63
Pr (0.5000, 0.3350, 0.9701)  4 N 2.45-2.72, 4 O 2.49-2.63
N (0.0000, 0.9132, 0.3149)  2 As 1.81-1.92
N (0.5000, 0.2687, 0.4811)  2 As 1.94